(1)
Computed, not measured: a relaxed Ca2MgBr crystal at the PBE-GGA level of DFT.

Values from the calculation:
Polymorph energy (0 for the lowest one) ... 148 meV/atom
Formation energy from raw total energies ... -533 meV per atom
N(E_F) ... 2.09 states/eV/cell
Size of the total moment ... 0.00 μB per cell

a b c (Å): 9.0560 5.8770 3.6107
angles (deg): 89.95 66.57 130.42
Closest atoms and distances in Å follow each position.
Fractional coordinates of all 4 atoms:
Mg  0.0000  0.5000  0.5000  8 Ca 3.45, 2 Mg 3.61
Ca  0.5000  0.0000  0.5000  4 Br 3.45, 4 Mg 3.45, 2 Ca 3.61
Ca  0.0000  0.0000  0.0000  4 Mg 3.45, 4 Br 3.45, 2 Ca 3.61
Br  0.5000  0.5000  0.0000  8 Ca 3.45, 2 Br 3.61


(2)
Computed, not measured: a relaxed CaMg3Br8 crystal at the PBE-GGA level of DFT.

Values from the calculation:
Formation energy from raw total energies ... -1610 meV per atom
N(E_F) ... 0.00 states/eV/cell
Size of the total moment ... 0.00 μB per cell

a b c (Å): 7.9572 7.9618 8.5034
angles (deg): 119.12 90.00 119.98
Closest atoms and distances in Å follow each position.
Fractional coordinates of all 12 atoms:
Br  0.2515  0.5030  0.2185  2 Mg 2.71, 1 Ca 2.87
Br  0.7485  0.0244  0.7813  2 Mg 2.72, 1 Ca 2.87
Br  0.2515  0.9756  0.2187  2 Mg 2.72, 1 Ca 2.87
Br  0.7241  0.9756  0.2187  2 Mg 2.72, 1 Ca 2.87
Br  0.7485  0.4970  0.7815  2 Mg 2.71, 1 Ca 2.87
Br  0.7402  0.4803  0.2125  3 Mg 2.74
Br  0.2598  0.5197  0.7875  3 Mg 2.74
Br  0.2759  0.0244  0.7813  2 Mg 2.72, 1 Ca 2.87
Ca  0.0000  0.0000  0.0000  6 Br 2.87
Mg  0.0000  0.5000  0.0000  6 Br 2.71-2.74
Mg  0.5000  0.0000  0.0000  6 Br 2.72-2.74
Mg  0.5000  0.5000  0.0000  6 Br 2.71-2.74


(3)
Computed, not measured: a relaxed Ca2MgBr crystal at the PBE-GGA level of DFT.

Values from the calculation:
Polymorph energy (0 for the lowest one) ... 55 meV/atom
Formation energy from raw total energies ... -625 meV per atom
N(E_F) ... 2.41 states/eV/cell
Size of the total moment ... 0.00 μB per cell

a b c (Å): 3.7028 3.7028 8.8753
angles (deg): 90.00 90.00 90.25
Closest atoms and distances in Å follow each position.
Fractional coordinates of all 4 atoms:
Mg  0.5000  0.5000  0.2500  8 Ca 3.42-3.43, 4 Mg 3.70
Ca  0.0000  0.0000  0.4982  4 Mg 3.42-3.43, 4 Br 3.44-3.45, 4 Ca 3.70
Ca  0.0000  0.0000  0.0018  4 Mg 3.42-3.43, 4 Br 3.44-3.45, 4 Ca 3.70
Br  0.5000  0.5000  0.7500  8 Ca 3.44-3.45, 4 Br 3.70


(4)
Computed, not measured: a relaxed Ca2MgBr crystal at the PBE-GGA level of DFT.

Values from the calculation:
Polymorph energy (0 for the lowest one) ... 230 meV/atom
Formation energy from raw total energies ... -450 meV per atom
N(E_F) ... 2.88 states/eV/cell
Size of the total moment ... 0.00 μB per cell

a b c (Å): 7.0735 7.0735 7.0735
angles (deg): 142.30 142.30 54.37
Closest atoms and distances in Å follow each position.
Fractional coordinates of all 4 atoms:
Br  0.7500  0.2500  0.5000  4 Ca 3.23
Mg  0.5000  0.5000  0.0000  4 Ca 3.23
Ca  0.0000  0.0000  0.0000  4 Mg 3.23
Ca  0.2500  0.7500  0.5000  4 Br 3.23


(5)
Computed, not measured: a relaxed CaMg3Br crystal at the PBE-GGA level of DFT.

Values from the calculation:
Polymorph energy (0 for the lowest one) ... 403 meV/atom
Formation energy from raw total energies ... 521 meV per atom
N(E_F) ... 3.36 states/eV/cell
Size of the total moment ... 0.00 μB per cell

a b c (Å): 6.3901 6.3901 6.3901
angles (deg): 90.00 90.00 90.00
Closest atoms and distances in Å follow each position.
Fractional coordinates of all 5 atoms:
Ca  0.0000  0.0000  0.0000  6 Mg 3.20
Mg  0.0000  0.5000  0.0000  2 Ca 3.20
Mg  0.5000  0.0000  0.0000  2 Ca 3.20
Mg  0.0000  0.0000  0.5000  2 Ca 3.20
Br  0.5000  0.5000  0.5000  12 Mg 4.52


(6)
Computed, not measured: a relaxed Ca2MgBr crystal at the PBE-GGA level of DFT.

Values from the calculation:
Polymorph energy (0 for the lowest one) ... 134 meV/atom
Formation energy from raw total energies ... -546 meV per atom
N(E_F) ... 3.07 states/eV/cell
Size of the total moment ... 0.00 μB per cell

a b c (Å): 3.7429 3.7429 10.1282
angles (deg): 90.00 90.00 89.99
Closest atoms and distances in Å follow each position.
Fractional coordinates of all 4 atoms:
Br  0.5000  0.5000  0.8128  4 Ca 3.05
Mg  0.0000  0.0000  0.4708  4 Ca 3.44, 4 Mg 3.74
Ca  0.0000  0.0000  0.9628  4 Br 3.05
Ca  0.5000  0.5000  0.2536  4 Mg 3.44, 4 Ca 3.74


no.,final energy (eV per cell)
1,-9.40
2,-39.49
3,-9.77
4,-9.07
5,-5.85
6,-9.46